K3Ho3WO8 | PBE with a Hubbard U | relaxed

Its space-group type is C2/m.

a b c (Å): 6.821 6.789 7.413
angles (deg): 117.22 90.00 120.16
Each line ends with the local moment (μB).
Positions (direct):
K 0.000 0.000 0.000  0.00
K 0.000 0.500 0.000  0.00
K 0.500 0.500 0.000  0.00
Ho 0.500 0.000 0.500  0.01
Ho 0.500 0.500 0.500  0.00
Ho 0.000 0.500 0.500  0.00
W 0.000 0.000 0.500  1.85
O 0.272 0.544 0.319  0.00
O 0.728 0.456 0.681  0.00
O 0.789 0.577 0.327  0.01
O 0.211 0.423 0.673  0.01
O 0.785 0.041 0.328  0.02
O 0.215 0.959 0.672  0.02
O 0.256 0.041 0.328  0.02
O 0.744 0.959 0.672  0.02

---

K2HoW3O12 | PBE with a Hubbard U | relaxed

Its space-group type is R-3m.

a b c (Å): 7.613 7.613 7.613
angles (deg): 59.12 59.12 59.12
Each line ends with the local moment (μB).
Positions (direct):
K 0.654 0.654 0.654  0.00
K 0.346 0.346 0.346  0.00
Ho 0.000 0.000 0.000  0.01
W 0.500 0.000 0.000  -0.04
W 0.000 0.500 0.000  -0.04
W 0.000 0.000 0.500  -0.04
O 0.300 0.300 0.934  0.06
O 0.922 0.922 0.355  0.09
O 0.355 0.922 0.922  0.09
O 0.934 0.300 0.300  0.06
O 0.922 0.355 0.922  0.09
O 0.300 0.934 0.300  0.06
O 0.700 0.700 0.066  0.06
O 0.078 0.078 0.645  0.09
O 0.645 0.078 0.078  0.09
O 0.066 0.700 0.700  0.06
O 0.078 0.645 0.078  0.09
O 0.700 0.066 0.700  0.06

---

KHoWO5 | PBE with a Hubbard U | relaxed

Its space-group type is C2/c.

a b c (Å): 6.392 6.392 8.118
angles (deg): 104.28 104.28 105.62
Positions (direct):
K 0.316 0.684 0.250
K 0.684 0.316 0.750
Ho 0.000 0.000 0.500
Ho 0.000 0.000 0.000
W 0.683 0.317 0.250
W 0.317 0.683 0.750
O 0.066 0.934 0.250
O 0.934 0.066 0.750
O 0.877 0.305 0.120
O 0.123 0.695 0.880
O 0.695 0.123 0.380
O 0.305 0.877 0.620
O 0.762 0.608 0.403
O 0.238 0.392 0.597
O 0.392 0.238 0.097
O 0.608 0.762 0.903

---

no.,raw total energy (eV/atom)
1,-6.90
2,-7.04
3,-7.15